1.
A relaxed V2CoSiC crystal, computed with PBE. Values from VASP.

Calculated values
E_form (uncorrected) in eV per atom: 1.53
Spin magnetization in μB/f.u.: 0.00
Calculated volume in Å³/f.u.: 74.6

The structure in Quantum ESPRESSO input format:
```
&SYSTEM
  ibrav = 0, nat = 5, ntyp = 4
/
ATOMIC_SPECIES
V 50.94 V.upf
Si 28.09 Si.upf
C 12.01 C.upf
Co 58.93 Co.upf
CELL_PARAMETERS angstrom
4.2899 0.0000 0.0000
0.0000 4.2899 0.0000
0.0000 0.0000 4.0535
ATOMIC_POSITIONS angstrom
V 2.1450 0.0000 0.0000
Si 0.0000 0.0000 2.0268
C 2.1450 2.1450 2.0268
Co 0.0000 0.0000 0.0000
V 0.0000 2.1450 0.0000
```

***

2.
A relaxed Sb2TeOsBr crystal, computed with PBE. Values from VASP.

Calculated values
E_form (uncorrected) in eV per atom: 0.53
Spin magnetization in μB/f.u.: 0.00
Energy above the most stable polymorph in this dataset in meV/atom: 0
Calculated volume in Å³/f.u.: 143.9

The structure in Quantum ESPRESSO input format:
```
&SYSTEM
  ibrav = 0, nat = 5, ntyp = 4
/
ATOMIC_SPECIES
Os 190.23 Os.upf
Sb 121.76 Sb.upf
Te 127.60 Te.upf
Br 79.90 Br.upf
CELL_PARAMETERS angstrom
5.1888 0.0000 0.0000
0.0000 5.1888 0.0000
0.0000 0.0000 5.3456
ATOMIC_POSITIONS angstrom
Os 0.0000 0.0000 0.0000
Sb 0.0000 2.5944 0.0000
Sb 2.5944 0.0000 0.0000
Te 0.0000 0.0000 2.6728
Br 2.5944 2.5944 2.6728
```

***

3.
A relaxed Ce2Tc3Os crystal, computed with PBE. Values from VASP.

Calculated values
Spin magnetization in μB/f.u.: 0.00
E in hartree per atom: -0.337
Calculated volume in Å³/f.u.: 112.4

The structure in Quantum ESPRESSO input format:
```
&SYSTEM
  ibrav = 0, nat = 6, ntyp = 3
/
ATOMIC_SPECIES
Tc 98.00 Tc.upf
Os 190.23 Os.upf
Ce 140.12 Ce.upf
CELL_PARAMETERS angstrom
0.9835 2.2511 -4.5953
-1.8100 -4.8651 -0.4547
-4.0483 2.2498 2.7672
ATOMIC_POSITIONS angstrom
Tc -2.4374 -0.1821 -1.1414
Tc -1.5324 2.2505 -0.9141
Os 0.0000 0.0000 0.0000
Ce -4.4224 -0.4921 0.9785
Tc -2.0241 1.1249 1.3836
Ce -0.4523 0.1279 -3.2614
```